Entry 1:
## MoRh5 (PBE)

Data for a geometry-optimized MoRh5 structure.

abc: 5.0199 5.0199 4.3538
angles: 90.00 90.00 120.00
Sites, in units of the cell vectors:
Rh: 0.6667 0.3333 0.0000
Rh: 0.3333 0.6667 0.0000
Rh: 0.0000 0.5000 0.5000
Rh: 0.5000 0.0000 0.5000
Rh: 0.5000 0.5000 0.5000
Mo: 0.0000 0.0000 0.0000

Values from the calculation:
For the total energy, the calculation gives -7.476 eV per atom. The distance to the lowest polymorph of the same formula is 620.6 meV/atom. As for the space-group type: P6/mmm (191). For the calculated formation energy, the calculation gives 0.46 eV per atom.

Entry 2:
## MoRh3 (PBE)

Data for a geometry-optimized MoRh3 structure.

abc: 5.5166 5.5166 4.3713
angles: 90.00 90.00 120.00
Sites, in units of the cell vectors:
Rh: 0.1668 0.3335 0.7500
Rh: 0.6665 0.8332 0.7500
Rh: 0.8332 0.6665 0.2500
Rh: 0.1668 0.8332 0.7500
Rh: 0.8332 0.1668 0.2500
Rh: 0.3335 0.1668 0.2500
Mo: 0.3333 0.6667 0.2500
Mo: 0.6667 0.3333 0.7500

Values from the calculation:
For the total energy, the calculation gives -8.470 eV per atom. As for the space-group type: P6_3/mmc (194). For the calculated formation energy, the calculation gives -0.25 eV per atom.

Entry 3:
## Mo3Rh (PBE)

Data for a geometry-optimized Mo3Rh structure.

abc: 2.7237 2.7237 8.6564
angles: 90.00 90.00 105.53
Sites, in units of the cell vectors:
Mo: 0.5000 0.5000 0.7500
Mo: 0.0000 0.0000 0.0072
Mo: 0.0000 0.0000 0.4928
Rh: 0.5000 0.5000 0.2500

Values from the calculation:
For the total energy, the calculation gives -9.953 eV per atom. As for the space-group type: Cmmm (65). For the calculated formation energy, the calculation gives 0.01 eV per atom.

Entry 4:
## MoRh3 (PBE)

Data for a geometry-optimized MoRh3 structure.

abc: 5.1962 5.1962 5.1962
angles: 149.23 125.28 64.09
Sites, in units of the cell vectors:
Mo: 0.0010 0.0000 0.0010
Rh: 0.4931 0.5000 0.9931
Rh: 0.5891 0.2528 0.3363
Rh: 0.0835 0.7472 0.3363

Values from the calculation:
For the total energy, the calculation gives -8.349 eV per atom. As for the space-group type: Imm2 (44). For the calculated formation energy, the calculation gives -0.13 eV per atom.

Entry 5:
## Mo2Rh (PBE)

Data for a geometry-optimized Mo2Rh structure.

abc: 5.3119 5.3119 6.6837
angles: 75.07 75.07 30.25
Sites, in units of the cell vectors:
Rh: 0.2745 0.2745 0.9463
Rh: 0.9468 0.9468 0.6107
Mo: 0.3383 0.3383 0.3326
Mo: 0.6098 0.6098 0.2804
Mo: 0.9930 0.9930 0.9916
Mo: 0.6710 0.6710 0.6718

Values from the calculation:
For the total energy, the calculation gives -9.675 eV per atom. As for the space-group type: Cm (8). For the calculated formation energy, the calculation gives 0.00 eV per atom.

Entry 6:
## MoRh (PBE)

Data for a geometry-optimized MoRh structure.

abc: 2.7202 4.4874 4.8993
angles: 90.00 90.00 90.00
Sites, in units of the cell vectors:
Rh: 0.5000 0.0000 0.5069
Rh: 0.0000 0.5000 0.3264
Mo: 0.5000 0.5000 0.8111
Mo: 0.0000 0.0000 0.0222

Values from the calculation:
For the total energy, the calculation gives -9.176 eV per atom. As for the space-group type: Pmmn (59). For the calculated formation energy, the calculation gives -0.08 eV per atom.

Entry 7:
## Mo2Rh (PBE)

Data for a geometry-optimized Mo2Rh structure.

abc: 3.8930 3.8930 12.3960
angles: 99.03 99.03 90.00
Sites, in units of the cell vectors:
Mo: 0.4152 0.4152 0.8304
Mo: 0.2516 0.2516 0.5032
Mo: 0.8348 0.3348 0.6696
Mo: 0.6652 0.1652 0.3304
Mo: 0.7484 0.7484 0.4968
Mo: 0.9984 0.4984 0.9968
Mo: 0.5848 0.5848 0.1696
Mo: 0.5016 0.0016 0.0032
Rh: 0.3356 0.8356 0.6713
Rh: 0.0856 0.0856 0.1713
Rh: 0.1644 0.6644 0.3287
Rh: 0.9144 0.9144 0.8287

Values from the calculation:
For the total energy, the calculation gives -9.680 eV per atom. As for the space-group type: I4_1/amd (141). For the calculated formation energy, the calculation gives -0.01 eV per atom.

Entry 8:
## MoRh5 (PBE)

Data for a geometry-optimized MoRh5 structure.

abc: 4.7643 4.7643 4.3801
angles: 90.00 90.00 120.00
Sites, in units of the cell vectors:
Rh: 0.3333 0.6642 0.0000
Rh: 0.9975 0.0000 0.0000
Rh: 0.6667 0.6667 0.5000
Rh: 0.6692 0.3358 0.0000
Rh: 0.0000 0.3333 0.5000
Mo: 0.3333 0.0000 0.5000

Values from the calculation:
For the total energy, the calculation gives -8.087 eV per atom. The distance to the lowest polymorph of the same formula is 9.2 meV/atom. As for the space-group type: P-62m (189). For the calculated formation energy, the calculation gives -0.16 eV per atom.